Entry 1:
The following is a DFT calculation (PBE) of a relaxed LaZn6Pd6 crystal.

Summary:
Volume   209 Å³ per cell
Uncorrected energy   -50.777 eV/cell
Mass density   9.296 g/cm3
Size of the total moment   0.00 μB per atom

Unit cell a=6.826 b=6.826 c=6.826 alpha=134.57 beta=98.79 gamma=98.37
Element x y z (fractional)
La 0.000 0.000 0.000
Zn 0.000 0.000 0.500
Zn 0.000 0.500 0.000
Zn 0.239 0.500 0.739
Zn 0.500 0.000 0.000
Zn 0.500 0.500 0.500
Zn 0.761 0.500 0.261
Pd 0.194 0.694 0.500
Pd 0.343 0.343 0.000
Pd 0.344 0.000 0.344
Pd 0.656 0.000 0.656
Pd 0.657 0.657 0.000
Pd 0.806 0.306 0.500

=====

Entry 2:
The following is a DFT calculation (PBE) of a relaxed La3ZnPd crystal.

Summary:
Volume   276 Å³ per cell
Mass density   7.072 g/cm3
Energy relative to the lowest polymorph listed for this composition   0 meV/atom
Size of the total moment   0.00 μB per atom

Unit cell a=5.864 b=5.864 c=9.727 alpha=113.25 beta=113.25 gamma=70.82
Element x y z (fractional)
La 0.101 0.101 0.316
La 0.282 0.282 0.687
La 0.307 0.307 0.100
La 0.693 0.693 0.900
La 0.718 0.718 0.313
La 0.899 0.899 0.684
Zn 0.316 0.684 0.500
Zn 0.684 0.316 0.500
Pd 0.232 0.768 0.000
Pd 0.768 0.232 0.000

=====

Entry 3:
The following is a DFT calculation (PBE) of a relaxed LaZn2Pd5 crystal.

Summary:
Volume   145 Å³ per cell
Uncorrected energy   -37.955 eV/cell
Mass density   9.201 g/cm3
Size of the total moment   0.00 μB per atom

Unit cell a=6.617 b=6.617 c=6.617 alpha=144.91 beta=117.75 gamma=73.51
Element x y z (fractional)
La 0.000 0.000 0.000
Zn 0.267 0.767 0.500
Zn 0.733 0.233 0.500
Pd 0.162 0.365 0.796
Pd 0.431 0.635 0.796
Pd 0.500 0.000 0.500
Pd 0.569 0.365 0.204
Pd 0.838 0.635 0.204

=====

Entry 4:
The following is a DFT calculation (PBE) of a relaxed LaZn3Pd crystal.

Summary:
Volume   176 Å³ per cell
Mass density   4.166 g/cm3
Energy relative to the lowest polymorph listed for this composition   1651 meV/atom
Size of the total moment   0.11 μB per atom

Unit cell a=5.604 b=5.604 c=5.604 alpha=90.00 beta=90.00 gamma=90.00
Element x y z (fractional)
La 0.000 0.000 0.000
Zn 0.000 0.000 0.500
Zn 0.000 0.500 0.000
Zn 0.500 0.000 0.000
Pd 0.500 0.500 0.500